Arrangement P

A PBEsol-optimized structure of AgRuCl2, computed with SCAN.

Cell lengths 6.5465, 6.5465, 6.5465 Å; angles 90.00, 90.00, 90.00 degrees
Closest atoms and distances in Å follow each position.
Space group F-43m (No. 216)
Asymmetric unit:
Ag1 0.0000 0.0000 0.0000 (multiplicity 4)  4 Cl 2.83, 4 Ru 2.83
Ru1 0.2500 0.2500 0.2500 (multiplicity 4)  4 Cl 2.83, 4 Ag 2.83
Cl1 0.0000 0.0000 0.5000 (multiplicity 4)  4 Ru 2.83, 4 Cl 2.83
Cl2 0.2500 0.2500 0.7500 (multiplicity 4)  4 Cl 2.83, 4 Ag 2.83

Summary:
- density of states at the Fermi level (states/eV/cell) = 16.123
- M_tot (μB/atom) = 0.78

Arrangement Q

A PBEsol-optimized structure of AgRuCl2, computed with SCAN.

Cell lengths 3.5643, 3.5643, 11.2976 Å; angles 90.00, 90.00, 90.00 degrees
Closest atoms and distances in Å follow each position.
Space group I-4m2 (No. 119)
Asymmetric unit:
Ag1 0.0000 0.0000 0.0000 (multiplicity 2)  4 Cl 2.52
Ru1 0.0000 0.5000 0.7500 (multiplicity 2)  4 Cl 2.52
Cl1 0.0000 0.0000 0.5000 (multiplicity 2)  4 Ag 2.52
Cl2 0.0000 0.5000 0.2500 (multiplicity 2)  4 Ru 2.52

Summary:
- density of states at the Fermi level (states/eV/cell) = 4.950
- M_tot (μB/atom) = 0.60

Which structure loses on stability? arrangement P does.

Arrangement P

A PBEsol-optimized structure of AgRuCl2, computed with SCAN.

Cell lengths 3.0660, 3.9753, 5.8123 Å; angles 90.00, 90.00, 90.00 degrees
Closest atoms and distances in Å follow each position.
Space group Pmmm (No. 47)
Asymmetric unit:
Ag1 0.0000 0.0000 0.0000 (multiplicity 1)  4 Cl 2.51
Ru1 0.5000 0.0000 0.5000 (multiplicity 1)  4 Cl 2.51
Cl1 0.0000 0.5000 0.5000 (multiplicity 1)  4 Ru 2.51
Cl2 0.5000 0.5000 0.0000 (multiplicity 1)  4 Ag 2.51

Summary:
- density of states at the Fermi level (states/eV/cell) = 2.041
- M_tot (μB/atom) = 0.57

Arrangement Q

A PBEsol-optimized structure of AgRuCl2, computed with SCAN.

Cell lengths 6.4734, 6.4734, 6.4734 Å; angles 90.00, 90.00, 90.00 degrees
Closest atoms and distances in Å follow each position.
Space group Fm-3m (No. 225)
Asymmetric unit:
Ag1 0.0000 0.0000 0.0000 (multiplicity 4)  8 Cl 2.80
Ru1 0.0000 0.0000 0.5000 (multiplicity 4)  8 Cl 2.80
Cl1 0.2500 0.2500 0.2500 (multiplicity 8)  4 Ru 2.80, 4 Ag 2.80

Summary:
- density of states at the Fermi level (states/eV/cell) = 0.963
- M_tot (μB/atom) = 0.75

Which structure loses on stability? arrangement P does.

Arrangement P

A PBEsol-optimized structure of AgSb2Cl, computed with SCAN.

Cell lengths 3.3471, 3.3471, 27.7368 Å; angles 90.00, 90.00, 120.00 degrees
Closest atoms and distances in Å follow each position.
Space group R-3m (No. 166, hexagonal axes)
Asymmetric unit:
Ag1 0.0000 0.0000 0.0000 (multiplicity 3)  6 Sb 2.95
Sb1 0.0000 0.0000 0.2530 (multiplicity 6)  3 Ag 2.95, 3 Cl 3.08
Cl1 0.0000 0.0000 0.5000 (multiplicity 3)  6 Sb 3.08, 6 Cl 3.35

Summary:
- density of states at the Fermi level (states/eV/cell) = 4.144
- M_tot (μB/atom) = 0.00

Arrangement Q

A PBEsol-optimized structure of AgSb2Cl, computed with SCAN.

Cell lengths 8.2150, 3.1275, 7.7042 Å; angles 90.00, 93.52, 90.00 degrees
Closest atoms and distances in Å follow each position.
Space group C2/m (No. 12)
Asymmetric unit:
Ag1 0.0000 0.0000 0.0000 (multiplicity 2)  6 Sb 2.82-2.86, 2 Ag 3.13
Sb1 0.1984 0.5000 0.7935 (multiplicity 4)  1 Cl 2.70, 3 Ag 2.82-2.86
Cl1 0.0000 0.5000 0.5000 (multiplicity 2)  2 Sb 2.70

Summary:
- density of states at the Fermi level (states/eV/cell) = 2.594
- M_tot (μB/atom) = 0.00

Which structure loses on stability? arrangement P does.

Arrangement P

A PBEsol-optimized structure of ScAgCl2, computed with SCAN.

Cell lengths 5.6943, 3.3787, 6.2615 Å; angles 90.00, 116.94, 90.00 degrees
Closest atoms and distances in Å follow each position.
Space group P2/m (No. 10)
Asymmetric unit:
Sc1 0.0000 0.0000 0.0000 (multiplicity 1)  4 Cl 2.44
Ag1 0.5000 0.0000 0.0000 (multiplicity 1)  2 Sc 2.85
Cl1 0.1576 0.5000 0.3154 (multiplicity 2)  2 Sc 2.44

Summary:
- density of states at the Fermi level (states/eV/cell) = 1.158
- M_tot (μB/atom) = 0.00

Arrangement Q

A PBEsol-optimized structure of ScAgCl2, computed with SCAN.

Cell lengths 3.2684, 3.2684, 7.2906 Å; angles 90.00, 90.00, 90.00 degrees
Closest atoms and distances in Å follow each position.
Space group P4mm (No. 99)
Asymmetric unit:
Sc1 0.0000 0.0000 0.0000 (multiplicity 1)  4 Cl 2.70, 4 Ag 2.95
Ag1 0.5000 0.5000 0.2524 (multiplicity 1)  4 Cl 2.71, 4 Sc 2.95
Cl1 0.0000 0.0000 0.4474 (multiplicity 1)  4 Ag 2.71
Cl2 0.5000 0.5000 0.8079 (multiplicity 1)  4 Sc 2.70

Summary:
- density of states at the Fermi level (states/eV/cell) = 1.221
- M_tot (μB/atom) = 0.00

Which structure loses on stability? arrangement Q does.

Arrangement P

A PBEsol-optimized structure of Ag2SeCl, computed with SCAN.

Cell lengths 3.1737, 4.2186, 5.9406 Å; angles 90.00, 90.00, 90.00 degrees
Closest atoms and distances in Å follow each position.
Space group Pmmm (No. 47)
Asymmetric unit:
Ag1 0.0000 0.0000 0.0000 (multiplicity 1)  4 Cl 2.64
Ag2 0.0000 0.5000 0.5000 (multiplicity 1)  4 Se 2.64
Se1 0.5000 0.0000 0.5000 (multiplicity 1)  4 Ag 2.64
Cl1 0.5000 0.5000 0.0000 (multiplicity 1)  4 Ag 2.64

Summary:
- density of states at the Fermi level (states/eV/cell) = 1.627
- M_tot (μB/atom) = 0.00

Arrangement Q

A PBEsol-optimized structure of Ag2SeCl, computed with SCAN.

Cell lengths 3.7874, 3.7874, 5.5143 Å; angles 90.00, 90.00, 90.00 degrees
Closest atoms and distances in Å follow each position.
Space group P4/mmm (No. 123)
Asymmetric unit:
Ag1 0.0000 0.0000 0.0000 (multiplicity 1)  4 Cl 2.68, 2 Se 2.76
Ag2 0.5000 0.5000 0.5000 (multiplicity 1)  4 Se 2.68, 2 Cl 2.76
Se1 0.0000 0.0000 0.5000 (multiplicity 1)  6 Ag 2.68-2.76
Cl1 0.5000 0.5000 0.0000 (multiplicity 1)  6 Ag 2.68-2.76

Summary:
- density of states at the Fermi level (states/eV/cell) = 1.797
- M_tot (μB/atom) = 0.00

Arrangement R

A PBEsol-optimized structure of Ag2SeCl, computed with SCAN.

Cell lengths 6.6219, 3.6765, 6.9899 Å; angles 90.00, 109.51, 90.00 degrees
Closest atoms and distances in Å follow each position.
Space group C2/m (No. 12)
Asymmetric unit:
Ag1 0.2474 0.0000 0.2634 (multiplicity 4)  3 Se 2.66-2.69, 3 Cl 2.73-2.87
Se1 0.0000 0.0000 0.5000 (multiplicity 2)  6 Ag 2.66-2.69
Cl1 0.0000 0.5000 0.0000 (multiplicity 2)  6 Ag 2.73-2.87

Summary:
- density of states at the Fermi level (states/eV/cell) = 4.814
- M_tot (μB/atom) = 0.00

Which structure loses on stability? arrangement P does.

Arrangement P

A PBEsol-optimized structure of SiAgCl2, computed with SCAN.

Cell lengths 3.1669, 5.6345, 8.8354 Å; angles 90.00, 90.00, 90.00 degrees
Closest atoms and distances in Å follow each position.
Space group Imm2 (No. 44)
Asymmetric unit:
Si1 0.0000 0.0000 0.0000 (multiplicity 2)  2 Cl 2.47, 2 Ag 2.48
Ag1 0.0000 0.5000 0.7157 (multiplicity 2)  2 Si 2.48, 2 Cl 2.63
Cl1 0.0000 0.0000 0.4530 (multiplicity 2)  2 Ag 2.63
Cl2 0.0000 0.5000 0.2847 (multiplicity 2)  2 Si 2.47

Summary:
- density of states at the Fermi level (states/eV/cell) = 1.546
- M_tot (μB/atom) = 0.00

Arrangement Q

A PBEsol-optimized structure of SiAgCl2, computed with SCAN.

Cell lengths 3.7160, 3.7160, 12.2031 Å; angles 90.00, 90.00, 90.00 degrees
Closest atoms and distances in Å follow each position.
Space group I-4m2 (No. 119)
Asymmetric unit:
Si1 0.0000 0.0000 0.0000 (multiplicity 2)  4 Cl 2.63
Ag1 0.0000 0.5000 0.2500 (multiplicity 2)  4 Cl 2.63
Cl1 0.0000 0.0000 0.5000 (multiplicity 2)  4 Si 2.63
Cl2 0.0000 0.5000 0.7500 (multiplicity 2)  4 Ag 2.63

Summary:
- density of states at the Fermi level (states/eV/cell) = 1.683
- M_tot (μB/atom) = 0.25

Arrangement R

A PBEsol-optimized structure of SiAgCl2, computed with SCAN.

Cell lengths 8.0808, 3.1391, 6.2198 Å; angles 90.00, 96.67, 90.00 degrees
Closest atoms and distances in Å follow each position.
Space group C2/m (No. 12)
Asymmetric unit:
Si1 0.0000 0.0000 0.0000 (multiplicity 2)  2 Cl 2.51
Ag1 0.0000 0.5000 0.5000 (multiplicity 2)  6 Cl 2.69-2.88
Cl1 0.2177 0.0000 0.7436 (multiplicity 4)  1 Si 2.51, 2 Ag 2.69

Summary:
- density of states at the Fermi level (states/eV/cell) = 1.464
- M_tot (μB/atom) = 0.00

Arrangement S

A PBEsol-optimized structure of SiAgCl2, computed with SCAN.

Cell lengths 3.2380, 4.2588, 13.2300 Å; angles 90.00, 90.00, 90.00 degrees
Closest atoms and distances in Å follow each position.
Space group Immm (No. 71)
Asymmetric unit:
Si1 0.0000 0.0000 0.0000 (multiplicity 2)  4 Cl 2.55, 4 Ag 2.67
Ag1 0.0000 0.0000 0.5000 (multiplicity 2)  4 Si 2.67, 4 Cl 2.90
Cl1 0.0000 0.5000 0.3515 (multiplicity 4)  2 Si 2.55

Summary:
- density of states at the Fermi level (states/eV/cell) = 1.739
- M_tot (μB/atom) = 0.00

Which structure loses on stability? arrangement Q does.